Entry from the Alexandria database: a relaxed Pb2Br crystal (PBE).

a = 6.1975 Å, b = 6.1975 Å, c = 6.1975 Å
α = 145.45°, β = 128.64°, γ = 63.38°
Element x y z (fractional)
Pb  0.7166  0.7166  0.0000
Pb  0.2834  0.2834  0.0000
Br  0.0000  0.0000  0.0000

Calculated values
As for the energy above the most stable polymorph in this dataset: 0.058 eV per atom. The uncorrected formation energy comes out at -0.216 eV/atom. As for the space-group type: No. 71.